# 1
# Nb2TlTcF, relaxed, DFT GGA-PBEsol
# Uncorrected formation energy = 34.8 kJ/mol of atoms
# Electronic total energy = -0.5242 Ry/atom
data_Nb2TlTcF
_chemical_formula_sum 'Nb2 Tl1 Tc1 F1'
_symmetry_space_group_name_H-M 'P 4/m m m'
_symmetry_Int_Tables_number 123
_symmetry_space_group_name_Hall '-P 4 2'
_cell_length_a 4.873
_cell_length_b 4.873
_cell_length_c 3.935
_cell_angle_alpha 90.00
_cell_angle_beta 90.00
_cell_angle_gamma 90.00
loop_
_atom_site_label
_atom_site_type_symbol
_atom_site_fract_x
_atom_site_fract_y
_atom_site_fract_z
Nb1 Nb 0.000 0.500 0.000
Tl1 Tl 0.000 0.000 0.500
Tc1 Tc 0.500 0.500 0.000
F1 F 0.500 0.500 0.500


# 2
# NbTe2F, relaxed, DFT GGA-PBEsol
# Uncorrected formation energy = -29.4 kJ/mol of atoms
# Electronic total energy = -0.3863 Ry/atom
data_NbTe2F
_chemical_formula_sum 'Nb4 Te8 F4'
_symmetry_space_group_name_H-M 'I -4 2 d'
_symmetry_Int_Tables_number 122
_symmetry_space_group_name_Hall 'I -4 2bw'
_cell_length_a 6.368
_cell_length_b 6.368
_cell_length_c 10.887
_cell_angle_alpha 90.00
_cell_angle_beta 90.00
_cell_angle_gamma 90.00
loop_
_atom_site_label
_atom_site_type_symbol
_atom_site_fract_x
_atom_site_fract_y
_atom_site_fract_z
Nb1 Nb 0.000 0.000 0.000
Te1 Te 0.249 0.750 0.125
F1 F 0.000 0.000 0.500


# 3
# Ti2NbF, relaxed, DFT GGA-PBEsol
# Uncorrected formation energy = 1.8 kJ/mol of atoms
# Electronic total energy = -0.5387 Ry/atom
data_Ti2NbF
_chemical_formula_sum 'Ti8 Nb4 F4'
_symmetry_space_group_name_H-M 'F m -3 m'
_symmetry_Int_Tables_number 225
_symmetry_space_group_name_Hall '-F 4 2 3'
_cell_length_a 6.210
_cell_length_b 6.210
_cell_length_c 6.210
_cell_angle_alpha 90.00
_cell_angle_beta 90.00
_cell_angle_gamma 90.00
loop_
_atom_site_label
_atom_site_type_symbol
_atom_site_fract_x
_atom_site_fract_y
_atom_site_fract_z
Ti1 Ti 0.250 0.250 0.250
Nb1 Nb 0.000 0.000 0.000
F1 F 0.000 0.000 0.500


# 4
# NbWF2, relaxed, DFT GGA-PBEsol
# Uncorrected formation energy = 26.4 kJ/mol of atoms
# Electronic total energy = -0.5033 Ry/atom
data_NbWF2
_chemical_formula_sum 'Nb4 W4 F8'
_symmetry_space_group_name_H-M 'F m -3 m'
_symmetry_Int_Tables_number 225
_symmetry_space_group_name_Hall '-F 4 2 3'
_cell_length_a 5.926
_cell_length_b 5.926
_cell_length_c 5.926
_cell_angle_alpha 90.00
_cell_angle_beta 90.00
_cell_angle_gamma 90.00
loop_
_atom_site_label
_atom_site_type_symbol
_atom_site_fract_x
_atom_site_fract_y
_atom_site_fract_z
Nb1 Nb 0.000 0.000 0.000
W1 W 0.000 0.000 0.500
F1 F 0.250 0.250 0.250


# 5
# NdF3, relaxed, DFT GGA-PBEsol
# Uncorrected formation energy = -399.8 kJ/mol of atoms
# Electronic total energy = -0.5057 Ry/atom
data_NdF3
_chemical_formula_sum 'Nd6 F18'
_symmetry_space_group_name_H-M 'P 63 c m'
_symmetry_Int_Tables_number 185
_symmetry_space_group_name_Hall 'P 6c -2'
_cell_length_a 6.9575
_cell_length_b 6.9575
_cell_length_c 7.1644
_cell_angle_alpha 90.00
_cell_angle_beta 90.00
_cell_angle_gamma 120.00
loop_
_atom_site_label
_atom_site_type_symbol
_atom_site_fract_x
_atom_site_fract_y
_atom_site_fract_z
Nd1 Nd 0.0000 0.3261 0.0000
F1 F 0.0000 0.0000 0.4253
F2 F 0.0000 0.2760 0.6685
F3 F 0.0000 0.3786 0.3309
F4 F 0.3333 0.6667 0.0473


# 6
# NdOF, relaxed, DFT GGA-PBEsol
# Uncorrected formation energy = -368.4 kJ/mol of atoms
# Electronic total energy = -0.5830 Ry/atom
data_NdOF
_chemical_formula_sum 'Nd6 O6 F6'
_symmetry_space_group_name_H-M 'R -3 m'
_symmetry_Int_Tables_number 166
_symmetry_space_group_name_Hall '-R 3 2"'
_cell_length_a 3.9348
_cell_length_b 3.9348
_cell_length_c 19.5966
_cell_angle_alpha 90.00
_cell_angle_beta 90.00
_cell_angle_gamma 120.00
loop_
_atom_site_label
_atom_site_type_symbol
_atom_site_fract_x
_atom_site_fract_y
_atom_site_fract_z
Nd1 Nd 0.0000 0.0000 0.2419
O1 O 0.0000 0.0000 0.1219
F1 F 0.0000 0.0000 0.3701


# 7
# NdOF, relaxed, DFT GGA-PBEsol
# Uncorrected formation energy = -363.6 kJ/mol of atoms
# Electronic total energy = -0.5794 Ry/atom
data_NdOF
_chemical_formula_sum 'Nd4 O4 F4'
_symmetry_space_group_name_H-M 'F -4 3 m'
_symmetry_Int_Tables_number 216
_symmetry_space_group_name_Hall 'F -4 2 3'
_cell_length_a 5.577
_cell_length_b 5.577
_cell_length_c 5.577
_cell_angle_alpha 90.00
_cell_angle_beta 90.00
_cell_angle_gamma 90.00
loop_
_atom_site_label
_atom_site_type_symbol
_atom_site_fract_x
_atom_site_fract_y
_atom_site_fract_z
Nd1 Nd 0.000 0.000 0.000
O1 O 0.250 0.250 0.750
F1 F 0.250 0.250 0.250


# 8
# Nd6S3O2F8, relaxed, DFT GGA-PBEsol
# Uncorrected formation energy = -341.6 kJ/mol of atoms
# Electronic total energy = -0.5313 Ry/atom
data_Nd6S3O2F8
_chemical_formula_sum 'Nd12 S6 O4 F16'
_symmetry_space_group_name_H-M 'P 1 m 1'
_symmetry_Int_Tables_number 6
_cell_length_a 13.392
_cell_length_b 3.826
_cell_length_c 13.489
_cell_angle_alpha 90.00
_cell_angle_beta 119.74
_cell_angle_gamma 90.00
loop_
_symmetry_equiv_pos_as_xyz
'x,y,z'
'x,-y,z'
loop_
_atom_site_label
_atom_site_type_symbol
_atom_site_fract_x
_atom_site_fract_y
_atom_site_fract_z
Nd1 Nd 0.000 0.000 0.000
Nd2 Nd 0.046 0.500 0.764
Nd3 Nd 0.161 0.000 0.568
Nd4 Nd 0.240 0.000 0.311
Nd5 Nd 0.290 0.500 0.103
Nd6 Nd 0.375 0.500 0.846
Nd7 Nd 0.473 0.000 0.654
Nd8 Nd 0.528 0.500 0.420
Nd9 Nd 0.626 0.500 0.184
Nd10 Nd 0.708 0.500 0.936
Nd11 Nd 0.817 0.000 0.469
Nd12 Nd 0.907 0.000 0.243
S1 S 0.038 0.500 0.179
S2 S 0.230 0.000 0.893
S3 S 0.291 0.500 0.517
S4 S 0.487 0.000 0.237
S5 S 0.576 0.000 0.990
S6 S 0.963 0.500 0.430
O1 O 0.195 0.000 0.119
O2 O 0.332 0.500 0.295
O3 O 0.347 0.000 0.729
O4 O 0.748 0.000 0.272
F1 F 0.017 0.000 0.636
F2 F 0.081 0.500 0.954
F3 F 0.102 0.000 0.374
F4 F 0.174 0.500 0.685
F5 F 0.430 0.500 0.041
F6 F 0.444 0.000 0.462
F7 F 0.517 0.500 0.781
F8 F 0.559 0.500 0.612
F9 F 0.658 0.000 0.504
F10 F 0.668 0.000 0.813
F11 F 0.694 0.500 0.388
F12 F 0.786 0.500 0.141
F13 F 0.832 0.000 0.031
F14 F 0.862 0.500 0.599
F15 F 0.870 0.500 0.911
F16 F 0.962 0.000 0.803


# 9
# NdPb6F15, relaxed, DFT GGA-PBEsol
# Uncorrected formation energy = -256.6 kJ/mol of atoms
# Electronic total energy = -0.3895 Ry/atom
data_NdPb6F15
_chemical_formula_sum 'Nd2 Pb12 F30'
_symmetry_space_group_name_H-M 'C 1 m 1'
_symmetry_Int_Tables_number 8
_cell_length_a 7.112
_cell_length_b 4.108
_cell_length_c 24.157
_cell_angle_alpha 90.00
_cell_angle_beta 95.63
_cell_angle_gamma 90.00
loop_
_symmetry_equiv_pos_as_xyz
'x,y,z'
'x,-y,z'
'x+1/2,y+1/2,z'
'x+1/2,-y+1/2,z'
loop_
_atom_site_label
_atom_site_type_symbol
_atom_site_fract_x
_atom_site_fract_y
_atom_site_fract_z
Nd1 Nd 0.000 0.000 0.000
Pb1 Pb 0.068 0.500 0.709
Pb2 Pb 0.139 0.000 0.422
Pb3 Pb 0.211 0.500 0.135
Pb4 Pb 0.284 0.000 0.854
Pb5 Pb 0.353 0.500 0.565
Pb6 Pb 0.425 0.000 0.277
F1 F 0.033 0.000 0.099
F2 F 0.033 0.500 0.603
F3 F 0.103 0.000 0.314
F4 F 0.106 0.500 0.820
F5 F 0.167 0.500 0.002
F6 F 0.174 0.000 0.529
F7 F 0.245 0.500 0.239
F8 F 0.246 0.000 0.744
F9 F 0.317 0.000 0.952
F10 F 0.318 0.500 0.459
F11 F 0.350 0.000 0.051
F12 F 0.389 0.500 0.672
F13 F 0.391 0.000 0.174
F14 F 0.460 0.000 0.386
F15 F 0.466 0.500 0.898


# 10
# RbNdF4, relaxed, DFT GGA-PBEsol
# Uncorrected formation energy = -357.5 kJ/mol of atoms
# Electronic total energy = -0.4426 Ry/atom
data_RbNdF4
_chemical_formula_sum 'Rb4 Nd4 F16'
_symmetry_space_group_name_H-M 'P n m a'
_symmetry_Int_Tables_number 62
_cell_length_a 6.303
_cell_length_b 3.735
_cell_length_c 15.995
_cell_angle_alpha 90.00
_cell_angle_beta 90.00
_cell_angle_gamma 90.00
loop_
_symmetry_equiv_pos_as_xyz
'x,y,z'
'-x,-y,-z'
'-x+1/2,-y,z+1/2'
'x+1/2,y,-z+1/2'
'x+1/2,-y+1/2,-z+1/2'
'-x+1/2,y+1/2,z+1/2'
'-x,y+1/2,-z'
'x,-y+1/2,z'
loop_
_atom_site_label
_atom_site_type_symbol
_atom_site_fract_x
_atom_site_fract_y
_atom_site_fract_z
Rb1 Rb 0.223 0.250 0.202
Nd1 Nd 0.248 0.750 0.443
F1 F 0.001 0.250 0.055
F2 F 0.099 0.250 0.814
F3 F 0.108 0.250 0.372
F4 F 0.133 0.250 0.536


# 11
# Rb3NdF6, relaxed, DFT GGA-PBEsol
# Uncorrected formation energy = -305.2 kJ/mol of atoms
# Electronic total energy = -0.3781 Ry/atom
data_Rb3NdF6
_chemical_formula_sum 'Rb6 Nd2 F12'
_symmetry_space_group_name_H-M 'I 4/m m m'
_symmetry_Int_Tables_number 139
_symmetry_space_group_name_Hall '-I 4 2'
_cell_length_a 7.235
_cell_length_b 7.235
_cell_length_c 9.612
_cell_angle_alpha 90.00
_cell_angle_beta 90.00
_cell_angle_gamma 90.00
loop_
_atom_site_label
_atom_site_type_symbol
_atom_site_fract_x
_atom_site_fract_y
_atom_site_fract_z
Rb1 Rb 0.000 0.000 0.000
Rb2 Rb 0.000 0.500 0.250
Nd1 Nd 0.000 0.000 0.500
F1 F 0.000 0.000 0.263
F2 F 0.000 0.311 0.500


# 12
# Rb3NdF6, relaxed, DFT GGA-PBEsol
# Uncorrected formation energy = -308.0 kJ/mol of atoms
# Electronic total energy = -0.3802 Ry/atom
data_Rb3NdF6
_chemical_formula_sum 'Rb12 Nd4 F24'
_symmetry_space_group_name_H-M 'F m -3 m'
_symmetry_Int_Tables_number 225
_symmetry_space_group_name_Hall '-F 4 2 3'
_cell_length_a 9.733
_cell_length_b 9.733
_cell_length_c 9.733
_cell_angle_alpha 90.00
_cell_angle_beta 90.00
_cell_angle_gamma 90.00
loop_
_atom_site_label
_atom_site_type_symbol
_atom_site_fract_x
_atom_site_fract_y
_atom_site_fract_z
Rb1 Rb 0.000 0.000 0.000
Rb2 Rb 0.250 0.250 0.250
Nd1 Nd 0.000 0.000 0.500
F1 F 0.000 0.000 0.269